Entry 1:
# In3Ga4Sn4

A relaxed In3Ga4Sn4 crystal (GGA-PBE, Alexandria via LeMat-Bulk).

```
In3Ga4Sn4
1.0
4.9651 0.0000 0.0000
-2.4826 6.1631 0.0000
0.0000 0.0000 8.9156
Ga Sn In
4 4 3
Direct
0.7643 0.5286 0.7877
0.9340 0.8680 0.0000
0.7643 0.5286 0.2123
0.8882 0.7764 0.5000
0.6436 0.2873 0.5000
0.0870 0.1739 0.7164
0.0870 0.1739 0.2836
0.5644 0.1289 0.0000
0.4026 0.8053 0.3080
0.2604 0.5209 0.0000
0.4026 0.8053 0.6920
```

Its crystal system is orthorhombic. Its space group is No. 38. The raw total energy comes out at -3.25 eV per atom. Its formation energy is 0.06 eV per atom.

Entry 2:
# In2GaSn

A relaxed In2GaSn crystal (GGA-PBE, Alexandria via LeMat-Bulk).

```
In2GaSn
1.0
5.3873 -1.9225 -3.5647
-1.3518 5.5580 3.5647
-3.7482 0.1030 5.6006
Sn In Ga
1 2 1
Direct
0.0000 0.5000 0.5000
0.0000 0.2413 0.2413
0.0000 0.7587 0.7587
0.0000 0.0000 0.0000
```

Its crystal system is orthorhombic. Its space group is No. 71. The raw total energy comes out at -3.05 eV per atom. Its excess energy over the best structure of this formula in the dataset is 30 meV per atom. Its formation energy is 0.07 eV per atom.

Entry 3:
# InGa2Sn

A relaxed InGa2Sn crystal (GGA-PBE, Alexandria via LeMat-Bulk).

```
InGa2Sn
1.0
0.0000 3.6155 3.6155
3.6155 0.0000 3.6155
3.6155 3.6155 0.0000
In Sn Ga
1 1 2
Direct
0.0000 0.0000 0.0000
0.5000 0.5000 0.5000
0.2500 0.2500 0.2500
0.7500 0.7500 0.7500
```

Its crystal system is cubic. Its space group is No. 225. The raw total energy comes out at -3.15 eV per atom. Its excess energy over the best structure of this formula in the dataset is 13 meV per atom. Its formation energy is 0.05 eV per atom.

Entry 4:
# InGa3Sn2

A relaxed InGa3Sn2 crystal (GGA-PBE, Alexandria via LeMat-Bulk).

```
InGa3Sn2
1.0
5.7828 0.0000 0.0000
0.0000 7.7971 0.0000
0.0000 -3.8985 6.5962
Ga Sn In
6 4 2
Direct
0.5000 0.1687 0.3374
0.5000 0.5000 0.0000
0.0000 0.5000 0.0000
0.0000 0.8313 0.6626
0.5000 0.8313 0.6626
0.0000 0.1687 0.3374
0.7500 0.4962 0.3312
0.2500 0.5038 0.6688
0.2500 0.8350 0.3312
0.7500 0.1650 0.6688
0.2500 0.1685 0.0000
0.7500 0.8315 0.0000
```

Its crystal system is orthorhombic. Its space group is No. 63. The raw total energy comes out at -3.24 eV per atom. Its excess energy over the best structure of this formula in the dataset is 17 meV per atom. Its formation energy is 0.06 eV per atom.

Number 1: total moment 0.00 Bohr magnetons per cell, theoretical density 6.68 g/cm3. Number 2: total moment 0.00 Bohr magnetons per cell, theoretical density 6.73 g/cm3. Number 3: total moment 0.00 Bohr magnetons per cell, theoretical density 6.55 g/cm3. Number 4: total moment 0.00 Bohr magnetons per cell, theoretical density 6.27 g/cm3.